Compound: Ba2Ga2S5
Source: the Alexandria database
Functional: PBE
Structure: relaxed

The space group is C2/m (No. 12) and the conventional cell measures 12.955, 5.224 and 7.246 Å, with angles of 90.00, 106.02 and 90.00 degrees. The inequivalent atoms are Ba at (0.103, 0.000, 0.303), Ga at (0.157, 0.500, 0.879), S at (0.000, 0.500, 0.000), S at (0.143, 0.500, 0.564) and S at (0.173, 0.000, 0.912).

The electronic total energy is -4.60 eV/atom. The value obtained for the raw formation energy is -10.90 eV/f.u. For the excess energy over the best structure of this formula in the dataset, the calculation gives 1.63 eV/f.u.